VASP calculation (GGA-PBE) on an optimized crystal structure of Zn8Co2Pd.

a = 4.022 Å, b = 6.557 Å, c = 6.957 Å
α = 118.12°, β = 106.80°, γ = 90.00°
Fractional coordinates of all 11 atoms:
Pd 0.500 0.000 0.000
Co 0.799 0.299 0.597
Co 0.201 0.701 0.403
Zn 0.000 0.311 0.000
Zn 0.000 0.689 0.000
Zn 0.846 0.846 0.693
Zn 0.654 0.446 0.307
Zn 0.346 0.138 0.693
Zn 0.654 0.862 0.307
Zn 0.154 0.154 0.307
Zn 0.346 0.554 0.693

ΔH_f (0 K) = -1.13 eV/f.u.
Symmetry = Immm (71)
Raw total energy = -30.7 eV per formula unit

=====

VASP calculation (GGA-PBE) on an optimized crystal structure of Tb2TiZn2Rh5.

a = 3.464 Å, b = 9.879 Å, c = 9.879 Å
α = 90.00°, β = 90.00°, γ = 90.00°
Fractional coordinates of all 20 atoms:
Zn 0.000 0.627 0.873
Zn 0.000 0.127 0.627
Zn 0.000 0.873 0.373
Zn 0.000 0.373 0.127
Rh 0.500 0.303 0.564
Rh 0.500 0.064 0.803
Rh 0.500 0.803 0.936
Rh 0.500 0.197 0.064
Rh 0.500 0.436 0.303
Rh 0.500 0.697 0.436
Rh 0.500 0.000 0.500
Rh 0.500 0.936 0.197
Rh 0.500 0.500 0.000
Rh 0.500 0.564 0.697
Tb 0.000 0.671 0.171
Tb 0.000 0.329 0.829
Tb 0.000 0.829 0.671
Tb 0.000 0.171 0.329
Ti 0.000 0.000 0.000
Ti 0.000 0.500 0.500

ΔH_f (0 K) = -6.59 eV/f.u.
Symmetry = P4/mbm (127)
Raw total energy = -63.1 eV per formula unit

=====

VASP calculation (GGA-PBE) on an optimized crystal structure of LiCd2Au5.

a = 6.961 Å, b = 6.016 Å, c = 5.657 Å
α = 121.39°, β = 125.98°, γ = 90.41°
Fractional coordinates of all 8 atoms:
Li 0.156 0.181 0.360
Au 0.800 0.765 0.533
Au 0.292 0.753 0.017
Au 0.291 0.263 0.015
Au 0.647 0.189 0.868
Au 0.649 0.681 0.871
Cd 0.790 0.251 0.502
Cd 0.153 0.694 0.388

ΔH_f (0 K) = -1.97 eV/f.u.
Symmetry = P1 (1)
Raw total energy = -22.1 eV per formula unit
Offset from the most stable computed form = 0.0 meV per atom

=====

VASP calculation (GGA-PBE) on an optimized crystal structure of Te3Rh.

a = 4.048 Å, b = 4.048 Å, c = 7.914 Å
α = 82.07°, β = 82.07°, γ = 53.72°
Fractional coordinates of all 4 atoms:
Rh 0.000 0.000 0.000
Te 0.288 0.288 0.184
Te 0.712 0.712 0.816
Te 0.500 0.500 0.500

Symmetry = C2/m (12)
E_form (uncorrected) = -146.2 meV/atom
Raw total energy = -17.4 eV per formula unit

=====

Number 1: volume 13.9 Å³ per atom. Number 2: volume 16.9 Å³ per atom. Number 3: volume 18.2 Å³ per atom. Number 4: volume 25.8 Å³ per atom.